No. 1
# DyScPaSn

A relaxed DyScPaSn crystal (PBE, Alexandria via LeMat-Bulk).

Summary:
calculated total energy = -6.1284 eV/atom
DOS at the Fermi energy = 6.476 states/eV/f.u.
spin magnetization = 1.2 μB per formula unit
DFT formation energy = -0.020 eV/atom

Cell and atoms, written as CIF:
```
data_DyScPaSn
_cell_length_a 7.361
_cell_length_b 7.361
_cell_length_c 7.361
_cell_angle_alpha 90.00
_cell_angle_beta 90.00
_cell_angle_gamma 90.00
_symmetry_space_group_name_H-M 'F -4 3 m'
_symmetry_Int_Tables_number 216
_symmetry_space_group_name_Hall 'F -4 2 3'
loop_
_atom_site_label
_atom_site_fract_x
_atom_site_fract_y
_atom_site_fract_z
Dy1 0.000 0.000 0.000
Sc1 0.000 0.000 0.500
Pa1 0.250 0.250 0.750
Sn1 0.250 0.250 0.250
```

=====

No. 2
# CsV2Cu

A relaxed CsV2Cu crystal (PBE, Alexandria via LeMat-Bulk).

Summary:
energy above the lowest structure with this stoichiometry = 0.193 eV per atom
calculated total energy = -4.0993 eV/atom
DOS at the Fermi energy = 5.850 states/eV/f.u.
spin magnetization = 0.0 μB per formula unit
DFT formation energy = 1.697 eV/atom

Cell and atoms, written as CIF:
```
data_CsV2Cu
_cell_length_a 6.476
_cell_length_b 6.476
_cell_length_c 6.476
_cell_angle_alpha 90.00
_cell_angle_beta 90.00
_cell_angle_gamma 90.00
_symmetry_space_group_name_H-M 'F m -3 m'
_symmetry_Int_Tables_number 225
_symmetry_space_group_name_Hall '-F 4 2 3'
loop_
_atom_site_label
_atom_site_fract_x
_atom_site_fract_y
_atom_site_fract_z
Cs1 0.000 0.000 0.000
V1 0.250 0.250 0.250
Cu1 0.000 0.000 0.500
```

=====

No. 3
# ScMnMo2

A relaxed ScMnMo2 crystal (PBE, Alexandria via LeMat-Bulk).

Summary:
energy above the lowest structure with this stoichiometry = 0.122 eV per atom
calculated total energy = -9.1187 eV/atom
DOS at the Fermi energy = 3.950 states/eV/f.u.
spin magnetization = 0.9 μB per formula unit
DFT formation energy = 0.172 eV/atom

Cell and atoms, written as CIF:
```
data_ScMnMo2
_cell_length_a 2.797
_cell_length_b 4.425
_cell_length_c 5.158
_cell_angle_alpha 90.00
_cell_angle_beta 101.01
_cell_angle_gamma 90.00
_symmetry_space_group_name_H-M 'P 1 2/m 1'
_symmetry_Int_Tables_number 10
loop_
_symmetry_equiv_pos_as_xyz
'x,y,z'
'-x,-y,-z'
'-x,y,-z'
'x,-y,z'
loop_
_atom_site_label
_atom_site_fract_x
_atom_site_fract_y
_atom_site_fract_z
Sc1 0.000 0.000 0.000
Mn1 0.500 0.000 0.500
Mo1 0.272 0.500 0.744
```

=====

No. 4
# LiYSi2

A relaxed LiYSi2 crystal (PBE, Alexandria via LeMat-Bulk).

Summary:
energy above the lowest structure with this stoichiometry = 0.101 eV per atom
calculated total energy = -5.2841 eV/atom
DOS at the Fermi energy = 0.889 states/eV/f.u.
raw formation energy = -478 meV/atom
spin magnetization = 0.0 μB per formula unit

Cell and atoms, written as CIF:
```
data_LiYSi2
_cell_length_a 4.278
_cell_length_b 3.788
_cell_length_c 5.429
_cell_angle_alpha 90.00
_cell_angle_beta 113.11
_cell_angle_gamma 90.00
_symmetry_space_group_name_H-M 'P 1 m 1'
_symmetry_Int_Tables_number 6
loop_
_symmetry_equiv_pos_as_xyz
'x,y,z'
'x,-y,z'
loop_
_atom_site_label
_atom_site_fract_x
_atom_site_fract_y
_atom_site_fract_z
Li1 0.000 0.000 0.000
Y1 0.725 0.500 0.448
Si1 0.287 0.000 0.573
Si2 0.434 0.500 0.870
```

=====

No. 5
# Tb12Cd5Cu3

A relaxed Tb12Cd5Cu3 crystal (PBE, Alexandria via LeMat-Bulk).

Summary:
calculated total energy = -3.2641 eV/atom
DOS at the Fermi energy = 22.565 states/eV/f.u.
spin magnetization = 0.0 μB per formula unit
DFT formation energy = 0.357 eV/atom

Cell and atoms, written as CIF:
```
data_Tb12Cd5Cu3
_cell_length_a 17.342
_cell_length_b 17.342
_cell_length_c 17.342
_cell_angle_alpha 90.00
_cell_angle_beta 90.00
_cell_angle_gamma 90.00
_symmetry_space_group_name_H-M 'I a -3 d'
_symmetry_Int_Tables_number 230
_symmetry_space_group_name_Hall '-I 4bd 2c 3'
loop_
_atom_site_label
_atom_site_fract_x
_atom_site_fract_y
_atom_site_fract_z
Tb1 0.015 0.085 0.648
Cd1 0.000 0.000 0.000
Cd2 0.000 0.250 0.375
Cu1 0.000 0.250 0.125
```

=====

No. 6
# Sr2CaPmS4

A relaxed Sr2CaPmS4 crystal (PBE, Alexandria via LeMat-Bulk).

Summary:
calculated total energy = -5.4175 eV/atom
DOS at the Fermi energy = 2.688 states/eV/f.u.
raw formation energy = -2089 meV/atom
spin magnetization = 0.0 μB per formula unit

Cell and atoms, written as CIF:
```
data_Sr2CaPmS4
_cell_length_a 7.175
_cell_length_b 4.134
_cell_length_c 7.218
_cell_angle_alpha 90.00
_cell_angle_beta 109.32
_cell_angle_gamma 90.00
_symmetry_space_group_name_H-M 'P 1 2/m 1'
_symmetry_Int_Tables_number 10
loop_
_symmetry_equiv_pos_as_xyz
'x,y,z'
'-x,-y,-z'
'-x,y,-z'
'x,-y,z'
loop_
_atom_site_label
_atom_site_fract_x
_atom_site_fract_y
_atom_site_fract_z
Sr1 0.000 0.000 0.000
Sr2 0.500 0.500 0.000
Ca1 0.000 0.500 0.500
Pm1 0.500 0.000 0.500
S1 0.246 0.000 0.735
S2 0.255 0.500 0.264
```